Here is an optimized crystal structure of ZrP2SBr from Alexandria via LeMat-Bulk. Energies are from PBEsol.

Raw formation energy in eV per formula unit: 4.2
DFT total energy in eV per formula unit: -22.7
Density in g/cm3: 4.36

The structure in CIF format:
```
data_ZrP2SBr
_chemical_formula_sum 'Zr1 P2 S1 Br1'
_symmetry_space_group_name_H-M 'P 4/m m m'
_symmetry_Int_Tables_number 123
_symmetry_space_group_name_Hall '-P 4 2'
_cell_length_a 4.659
_cell_length_b 4.659
_cell_length_c 4.655
_cell_angle_alpha 90.00
_cell_angle_beta 90.00
_cell_angle_gamma 90.00
loop_
_atom_site_label
_atom_site_fract_x
_atom_site_fract_y
_atom_site_fract_z
Zr1 0.000 0.000 0.000
P1 0.000 0.500 0.500
S1 0.500 0.500 0.000
Br1 0.500 0.500 0.500
```

Here is an optimized crystal structure of BaSiSb2Os from Alexandria via LeMat-Bulk. Energies are from PBEsol.

Raw formation energy in eV per formula unit: 2.8
DFT total energy in eV per formula unit: -26.5
Density in g/cm3: 6.75

The structure in CIF format:
```
data_BaSiSb2Os
_chemical_formula_sum 'Ba1 Si1 Sb2 Os1'
_symmetry_space_group_name_H-M 'P 4/m m m'
_symmetry_Int_Tables_number 123
_symmetry_space_group_name_Hall '-P 4 2'
_cell_length_a 5.040
_cell_length_b 5.040
_cell_length_c 5.805
_cell_angle_alpha 90.00
_cell_angle_beta 90.00
_cell_angle_gamma 90.00
loop_
_atom_site_label
_atom_site_fract_x
_atom_site_fract_y
_atom_site_fract_z
Ba1 0.000 0.000 0.000
Si1 0.500 0.500 0.000
Sb1 0.000 0.500 0.500
Os1 0.000 0.000 0.500
```

Here is an optimized crystal structure of LiCrCl2 from Alexandria via LeMat-Bulk. Energies are from PBEsol.

Distance to the lowest polymorph of the same formula in kJ/mol of atoms: 8.9
Raw formation energy in eV per formula unit: -2.5
DFT total energy in eV per formula unit: -18.7
Density in g/cm3: 3.15

The structure in CIF format:
```
data_LiCrCl2
_chemical_formula_sum 'Li4 Cr4 Cl8'
_symmetry_space_group_name_H-M 'F m -3 m'
_symmetry_Int_Tables_number 225
_symmetry_space_group_name_Hall '-F 4 2 3'
_cell_length_a 6.493
_cell_length_b 6.493
_cell_length_c 6.493
_cell_angle_alpha 90.00
_cell_angle_beta 90.00
_cell_angle_gamma 90.00
loop_
_atom_site_label
_atom_site_fract_x
_atom_site_fract_y
_atom_site_fract_z
Li1 0.000 0.000 0.000
Cr1 0.000 0.000 0.500
Cl1 0.250 0.250 0.250
```

Here is an optimized crystal structure of In2Si2I from Alexandria via LeMat-Bulk. Energies are from PBEsol.

Raw formation energy in eV per formula unit: 0.9
DFT total energy in eV per formula unit: -18.3
Density in g/cm3: 5.72

The structure in CIF format:
```
data_In2Si2I
_chemical_formula_sum 'In4 Si4 I2'
_symmetry_space_group_name_H-M 'I 4/m m m'
_symmetry_Int_Tables_number 139
_symmetry_space_group_name_Hall '-I 4 2'
_cell_length_a 4.941
_cell_length_b 4.941
_cell_length_c 9.811
_cell_angle_alpha 90.00
_cell_angle_beta 90.00
_cell_angle_gamma 90.00
loop_
_atom_site_label
_atom_site_fract_x
_atom_site_fract_y
_atom_site_fract_z
In1 0.000 0.500 0.250
Si1 0.000 0.000 0.120
I1 0.000 0.000 0.500
```

Here is an optimized crystal structure of MoRhW from Alexandria via LeMat-Bulk. Energies are from PBEsol.

Formation energy from the elements in eV/atom: -0.048
DFT total energy in eV per formula unit: -33.9
Density in g/cm3: 14.31

The structure in CIF format:
```
data_MoRhW
_chemical_formula_sum 'Mo4 Rh4 W4'
_symmetry_space_group_name_H-M 'F m m 2'
_symmetry_Int_Tables_number 42
_symmetry_space_group_name_Hall 'F 2 -2'
_cell_length_a 3.816
_cell_length_b 3.824
_cell_length_c 12.171
_cell_angle_alpha 90.00
_cell_angle_beta 90.00
_cell_angle_gamma 90.00
loop_
_atom_site_label
_atom_site_fract_x
_atom_site_fract_y
_atom_site_fract_z
Mo1 0.000 0.000 0.000
Rh1 0.000 0.000 0.341
W1 0.000 0.000 0.682
```

Here is an optimized crystal structure of TmAl3B4O12 from Alexandria via LeMat-Bulk. Energies are from PBEsol.

Raw formation energy in eV per formula unit: -57.6
DFT total energy in eV per formula unit: -165.8
Density in g/cm3: 4.51

The structure in CIF format:
```
data_TmAl3B4O12
_chemical_formula_sum 'Tm3 Al9 B12 O36'
_symmetry_space_group_name_H-M 'R 3 2'
_symmetry_Int_Tables_number 155
_symmetry_space_group_name_Hall 'R 3 2"'
_cell_length_a 9.2841
_cell_length_b 9.2841
_cell_length_c 7.1715
_cell_angle_alpha 90.00
_cell_angle_beta 90.00
_cell_angle_gamma 120.00
loop_
_atom_site_label
_atom_site_fract_x
_atom_site_fract_y
_atom_site_fract_z
Tm1 0.0000 0.0000 0.0000
Al1 0.0000 0.5553 0.0000
B1 0.0000 0.0000 0.5000
B2 0.0000 0.4441 0.5000
O1 0.0000 0.5925 0.5000
O2 0.0000 0.8510 0.5000
O3 0.0326 0.2147 0.1857
```

Here is an optimized crystal structure of BaNa2B2 from Alexandria via LeMat-Bulk. Energies are from PBEsol.

Formation energy from the elements in eV/atom: 1.161
DFT total energy in eV per formula unit: -13.2
Density in g/cm3: 3.11

The structure in CIF format:
```
data_BaNa2B2
_chemical_formula_sum 'Ba2 Na4 B4'
_symmetry_space_group_name_H-M 'I 4/m m m'
_symmetry_Int_Tables_number 139
_symmetry_space_group_name_Hall '-I 4 2'
_cell_length_a 4.908
_cell_length_b 4.908
_cell_length_c 9.077
_cell_angle_alpha 90.00
_cell_angle_beta 90.00
_cell_angle_gamma 90.00
loop_
_atom_site_label
_atom_site_fract_x
_atom_site_fract_y
_atom_site_fract_z
Ba1 0.000 0.000 0.000
Na1 0.000 0.000 0.351
B1 0.000 0.500 0.250
```

Here is an optimized crystal structure of Pr2P3Au from Alexandria via LeMat-Bulk. Energies are from PBEsol.

Formation energy from the elements in eV/atom: -1.060
DFT total energy in eV per formula unit: -38.0
Density in g/cm3: 7.43

The structure in CIF format:
```
data_Pr2P3Au
_chemical_formula_sum 'Pr8 P12 Au4'
_symmetry_space_group_name_H-M 'P n m a'
_symmetry_Int_Tables_number 62
_cell_length_a 7.696
_cell_length_b 4.150
_cell_length_c 16.000
_cell_angle_alpha 90.00
_cell_angle_beta 90.00
_cell_angle_gamma 90.00
loop_
_symmetry_equiv_pos_as_xyz
'x,y,z'
'-x,-y,-z'
'-x+1/2,-y,z+1/2'
'x+1/2,y,-z+1/2'
'x+1/2,-y+1/2,-z+1/2'
'-x+1/2,y+1/2,z+1/2'
'-x,y+1/2,-z'
'x,-y+1/2,z'
loop_
_atom_site_label
_atom_site_fract_x
_atom_site_fract_y
_atom_site_fract_z
Pr1 0.095 0.250 0.205
Pr2 0.233 0.250 0.474
P1 0.031 0.250 0.908
P2 0.120 0.750 0.589
P3 0.204 0.250 0.799
Au1 0.008 0.250 0.648
```